[1]
Compound: SrGa2Pd2
Source: Alexandria
Functional: PBE
Structure: relaxed

Summary:
The formation energy is -64 kJ/mol of atoms. The value obtained for the density is 7.02 g/cm3. The crystal system is tetragonal.

Cell lengths 6.267, 6.267, 6.267 Å; angles 139.19, 139.19, 59.09 degrees
Element x y z (fractional)
Sr1 0.000 0.000 0.000
Ga1 0.250 0.750 0.500
Ga2 0.750 0.250 0.500
Pd1 0.373 0.373 0.000
Pd2 0.627 0.627 0.000


[2]
Compound: SrGa12Pd4
Source: Alexandria
Functional: PBE
Structure: relaxed

Summary:
The formation energy is -25 kJ/mol of atoms. The value obtained for the density is 6.38 g/cm3. The crystal system is cubic.

Cell lengths 7.700, 7.700, 7.700 Å; angles 109.47, 109.47, 109.47 degrees
Element x y z (fractional)
Sr1 0.000 0.000 0.000
Ga1 0.155 0.505 0.350
Ga2 0.155 0.805 0.650
Ga3 0.195 0.350 0.845
Ga4 0.350 0.155 0.505
Ga5 0.350 0.845 0.195
Ga6 0.495 0.650 0.845
Ga7 0.505 0.350 0.155
Ga8 0.650 0.155 0.805
Ga9 0.650 0.845 0.495
Ga10 0.805 0.650 0.155
Ga11 0.845 0.195 0.350
Ga12 0.845 0.495 0.650
Pd1 0.000 0.000 0.500
Pd2 0.000 0.500 0.000
Pd3 0.500 0.000 0.000
Pd4 0.500 0.500 0.500


[3]
Compound: Sr3Ga8Pd3
Source: Alexandria
Functional: PBE
Structure: relaxed

Summary:
The formation energy is -54 kJ/mol of atoms. The value obtained for the density is 6.62 g/cm3. As for the distance to the lowest polymorph of the same formula: 17.9 meV/atom. The crystal system is monoclinic.

Cell lengths 8.423, 8.423, 9.252 Å; angles 121.87, 121.87, 31.40 degrees
Element x y z (fractional)
Sr1 0.000 0.000 0.000
Sr2 0.291 0.291 0.302
Sr3 0.709 0.709 0.698
Ga1 0.135 0.135 0.421
Ga2 0.142 0.142 0.850
Ga3 0.346 0.346 0.718
Ga4 0.494 0.494 0.318
Ga5 0.506 0.506 0.682
Ga6 0.654 0.654 0.282
Ga7 0.858 0.858 0.150
Ga8 0.865 0.865 0.579
Pd1 0.000 0.000 0.500
Pd2 0.339 0.339 0.998
Pd3 0.661 0.661 0.002


[4]
Compound: Sr2Ga3Pd2
Source: Alexandria
Functional: PBE
Structure: relaxed

Summary:
The formation energy is -58 kJ/mol of atoms. The value obtained for the density is 5.87 g/cm3. As for the distance to the lowest polymorph of the same formula: 42.1 meV/atom. The crystal system is monoclinic.

Cell lengths 6.146, 6.146, 6.981 Å; angles 101.47, 101.47, 40.99 degrees
Element x y z (fractional)
Sr1 0.177 0.177 0.237
Sr2 0.823 0.823 0.763
Ga1 0.428 0.428 0.116
Ga2 0.500 0.500 0.500
Ga3 0.572 0.572 0.884
Pd1 0.087 0.087 0.686
Pd2 0.913 0.913 0.314


[5]
Compound: Sr2Ga2Pd
Source: Alexandria
Functional: PBE
Structure: relaxed

Summary:
The formation energy is -54 kJ/mol of atoms. The value obtained for the density is 5.27 g/cm3. As for the distance to the lowest polymorph of the same formula: 0.0 meV/atom. The crystal system is monoclinic.

Cell lengths 6.149, 6.149, 11.328 Å; angles 114.19, 114.19, 43.65 degrees
Element x y z (fractional)
Sr1 0.002 0.002 0.166
Sr2 0.194 0.194 0.613
Sr3 0.806 0.806 0.387
Sr4 0.998 0.998 0.834
Ga1 0.321 0.321 0.938
Ga2 0.493 0.493 0.615
Ga3 0.507 0.507 0.385
Ga4 0.679 0.679 0.062
Pd1 0.288 0.288 0.157
Pd2 0.712 0.712 0.843


[6]
Compound: SrGaPd4
Source: Alexandria
Functional: PBE
Structure: relaxed

Summary:
The formation energy is -51 kJ/mol of atoms. The value obtained for the density is 8.57 g/cm3. As for the distance to the lowest polymorph of the same formula: 0.0 meV/atom. The crystal system is orthorhombic.

Cell lengths 7.945, 3.965, 7.176 Å; angles 90.00, 90.00, 90.00 degrees
Element x y z (fractional)
Sr1 0.250 0.000 0.139
Sr2 0.750 0.000 0.861
Ga1 0.250 0.000 0.706
Ga2 0.750 0.000 0.294
Pd1 0.000 0.000 0.500
Pd2 0.061 0.500 0.803
Pd3 0.250 0.500 0.462
Pd4 0.439 0.500 0.803
Pd5 0.500 0.000 0.500
Pd6 0.561 0.500 0.197
Pd7 0.750 0.500 0.538
Pd8 0.939 0.500 0.197


[7]
Compound: Sr2Ga3Pd
Source: Alexandria
Functional: PBE
Structure: relaxed

Summary:
The formation energy is -55 kJ/mol of atoms. The value obtained for the density is 5.37 g/cm3. The crystal system is orthorhombic.

Cell lengths 4.359, 4.431, 7.857 Å; angles 90.00, 90.00, 90.00 degrees
Element x y z (fractional)
Sr1 0.000 0.000 0.000
Sr2 0.000 0.500 0.482
Ga1 0.500 0.000 0.654
Ga2 0.500 0.500 0.158
Ga3 0.500 0.500 0.823
Pd1 0.500 0.000 0.324


[8]
Compound: SrGa5Pd3
Source: Alexandria
Functional: PBE
Structure: relaxed

Summary:
The formation energy is -54 kJ/mol of atoms. The value obtained for the density is 7.15 g/cm3. The crystal system is orthorhombic.

Cell lengths 6.848, 6.848, 12.961 Å; angles 90.00, 90.00, 144.74 degrees
Element x y z (fractional)
Sr1 0.158 0.842 0.750
Sr2 0.842 0.158 0.250
Ga1 0.000 0.000 0.000
Ga2 0.000 0.000 0.500
Ga3 0.203 0.797 0.061
Ga4 0.203 0.797 0.439
Ga5 0.438 0.562 0.652
Ga6 0.438 0.562 0.848
Ga7 0.562 0.438 0.152
Ga8 0.562 0.438 0.348
Ga9 0.797 0.203 0.561
Ga10 0.797 0.203 0.939
Pd1 0.136 0.864 0.250
Pd2 0.394 0.606 0.044
Pd3 0.394 0.606 0.456
Pd4 0.606 0.394 0.544
Pd5 0.606 0.394 0.956
Pd6 0.864 0.136 0.750


[9]
Compound: Sr3Ga3Pd
Source: Alexandria
Functional: PBE
Structure: relaxed

Summary:
The formation energy is -49 kJ/mol of atoms. The value obtained for the density is 4.90 g/cm3. The crystal system is monoclinic.

Cell lengths 6.310, 6.310, 15.756 Å; angles 107.44, 107.44, 41.29 degrees
Element x y z (fractional)
Sr1 0.016 0.016 0.387
Sr2 0.112 0.112 0.923
Sr3 0.243 0.243 0.233
Sr4 0.757 0.757 0.767
Sr5 0.888 0.888 0.077
Sr6 0.984 0.984 0.613
Ga1 0.319 0.319 0.459
Ga2 0.403 0.403 0.923
Ga3 0.460 0.460 0.765
Ga4 0.540 0.540 0.235
Ga5 0.597 0.597 0.077
Ga6 0.681 0.681 0.541
Pd1 0.274 0.274 0.613
Pd2 0.726 0.726 0.387


[10]
Compound: Sr4Ga3Pd2
Source: Alexandria
Functional: PBE
Structure: relaxed

Summary:
The formation energy is -49 kJ/mol of atoms. The value obtained for the density is 5.09 g/cm3. The crystal system is monoclinic.

Cell lengths 8.660, 8.660, 7.606 Å; angles 108.57, 108.57, 27.92 degrees
Element x y z (fractional)
Sr1 0.076 0.076 0.383
Sr2 0.269 0.269 0.811
Sr3 0.731 0.731 0.189
Sr4 0.924 0.924 0.617
Ga1 0.402 0.402 0.251
Ga2 0.500 0.500 0.000
Ga3 0.598 0.598 0.749
Pd1 0.087 0.087 0.950
Pd2 0.913 0.913 0.050


[11]
Compound: Sr3GaPd2
Source: Alexandria
Functional: PBE
Structure: relaxed

Summary:
The formation energy is -55 kJ/mol of atoms. The value obtained for the density is 5.05 g/cm3. The crystal system is orthorhombic.

Cell lengths 12.529, 4.368, 13.103 Å; angles 90.00, 90.00, 90.00 degrees
Element x y z (fractional)
Sr1 0.066 0.250 0.117
Sr2 0.123 0.750 0.554
Sr3 0.192 0.250 0.805
Sr4 0.308 0.750 0.305
Sr5 0.377 0.250 0.054
Sr6 0.434 0.750 0.617
Sr7 0.566 0.250 0.383
Sr8 0.623 0.750 0.946
Sr9 0.692 0.250 0.695
Sr10 0.808 0.750 0.195
Sr11 0.877 0.250 0.446
Sr12 0.934 0.750 0.883
Ga1 0.128 0.250 0.362
Ga2 0.372 0.750 0.862
Ga3 0.628 0.250 0.138
Ga4 0.872 0.750 0.638
Pd1 0.038 0.750 0.316
Pd2 0.201 0.750 0.975
Pd3 0.299 0.250 0.475
Pd4 0.462 0.250 0.816
Pd5 0.538 0.750 0.184
Pd6 0.701 0.750 0.525
Pd7 0.799 0.250 0.025
Pd8 0.962 0.250 0.684


[12]
Compound: Sr4GaPd
Source: Alexandria
Functional: PBE
Structure: relaxed

Summary:
The formation energy is -33 kJ/mol of atoms. The value obtained for the density is 3.93 g/cm3. The crystal system is monoclinic.

Cell lengths 8.916, 8.916, 7.178 Å; angles 107.94, 107.94, 111.31 degrees
Element x y z (fractional)
Sr1 0.054 0.699 0.911
Sr2 0.237 0.353 0.729
Sr3 0.301 0.946 0.589
Sr4 0.353 0.237 0.229
Sr5 0.647 0.763 0.771
Sr6 0.699 0.054 0.411
Sr7 0.763 0.647 0.271
Sr8 0.946 0.301 0.089
Ga1 0.364 0.636 0.250
Ga2 0.636 0.364 0.750
Pd1 0.005 0.995 0.750
Pd2 0.995 0.005 0.250


[13]
Compound: Sr6GaPd2
Source: Alexandria
Functional: PBE
Structure: relaxed

Summary:
The formation energy is -32 kJ/mol of atoms. The value obtained for the density is 4.18 g/cm3. The crystal system is triclinic.

Cell lengths 5.480, 7.658, 8.620 Å; angles 83.60, 71.74, 69.16 degrees
Element x y z (fractional)
Sr1 0.046 0.250 0.159
Sr2 0.295 0.750 0.159
Sr3 0.371 0.259 0.500
Sr4 0.629 0.741 0.500
Sr5 0.705 0.250 0.841
Sr6 0.954 0.750 0.841
Ga1 0.000 0.000 0.500
Pd1 0.339 0.000 0.823
Pd2 0.661 0.000 0.177


[14]
Compound: SrGa6Pd4
Source: Alexandria
Functional: PBE
Structure: relaxed

Summary:
The formation energy is -59 kJ/mol of atoms. The value obtained for the density is 7.85 g/cm3. The crystal system is hexagonal.

Cell lengths 7.395, 7.395, 4.160 Å; angles 90.00, 90.00, 120.00 degrees
Element x y z (fractional)
Sr1 0.000 0.000 0.000
Ga1 0.200 0.400 0.500
Ga2 0.200 0.800 0.500
Ga3 0.536 0.072 0.000
Ga4 0.536 0.464 0.000
Ga5 0.600 0.800 0.500
Ga6 0.928 0.464 0.000
Pd1 0.333 0.667 0.000
Pd2 0.409 0.205 0.500
Pd3 0.795 0.205 0.500
Pd4 0.795 0.591 0.500


[15]
Compound: SrGa2Pd6
Source: Alexandria
Functional: PBE
Structure: relaxed

Summary:
The formation energy is -25 kJ/mol of atoms. The value obtained for the density is 7.61 g/cm3. The crystal system is cubic.

Cell lengths 8.115, 8.115, 8.115 Å; angles 60.00, 60.00, 60.00 degrees
Element x y z (fractional)
Sr1 0.125 0.125 0.125
Sr2 0.875 0.875 0.875
Ga1 0.000 0.500 0.500
Ga2 0.500 0.000 0.500
Ga3 0.500 0.500 0.000
Ga4 0.500 0.500 0.500
Pd1 0.131 0.131 0.619
Pd2 0.131 0.619 0.131
Pd3 0.131 0.619 0.619
Pd4 0.381 0.381 0.869
Pd5 0.381 0.869 0.381
Pd6 0.381 0.869 0.869
Pd7 0.619 0.131 0.131
Pd8 0.619 0.131 0.619
Pd9 0.619 0.619 0.131
Pd10 0.869 0.381 0.381
Pd11 0.869 0.381 0.869
Pd12 0.869 0.869 0.381


[16]
Compound: Sr2Ga5Pd
Source: Alexandria
Functional: PBE
Structure: relaxed

Summary:
The formation energy is -38 kJ/mol of atoms. The value obtained for the density is 5.31 g/cm3. As for the distance to the lowest polymorph of the same formula: 113.5 meV/atom. The crystal system is tetragonal.

Cell lengths 6.780, 6.780, 6.780 Å; angles 126.01, 126.01, 79.88 degrees
Element x y z (fractional)
Sr1 0.000 0.500 0.500
Sr2 0.500 0.000 0.500
Ga1 0.025 0.025 0.563
Ga2 0.025 0.462 0.000
Ga3 0.432 0.432 0.000
Ga4 0.462 0.025 0.000
Ga5 0.462 0.462 0.437
Pd1 0.678 0.678 0.000


[17]
Compound: Sr2Ga2Pd
Source: Alexandria
Functional: PBE
Structure: relaxed

Summary:
The formation energy is -39 kJ/mol of atoms. The value obtained for the density is 5.44 g/cm3. As for the distance to the lowest polymorph of the same formula: 159.5 meV/atom. The crystal system is tetragonal.

Cell lengths 7.234, 7.234, 4.914 Å; angles 90.00, 90.00, 90.00 degrees
Element x y z (fractional)
Sr1 0.180 0.320 0.000
Sr2 0.320 0.820 0.000
Sr3 0.680 0.180 0.000
Sr4 0.820 0.680 0.000
Ga1 0.128 0.628 0.500
Ga2 0.372 0.128 0.500
Ga3 0.628 0.872 0.500
Ga4 0.872 0.372 0.500
Pd1 0.000 0.000 0.500
Pd2 0.500 0.500 0.500


[18]
Compound: Sr3Ga2Pd2
Source: Alexandria
Functional: PBE
Structure: relaxed

Summary:
The formation energy is -60 kJ/mol of atoms. The value obtained for the density is 5.57 g/cm3. The crystal system is orthorhombic.

Cell lengths 6.137, 8.335, 14.343 Å; angles 90.00, 90.00, 90.00 degrees
Element x y z (fractional)
Sr1 0.140 0.239 0.250
Sr2 0.140 0.261 0.750
Sr3 0.359 0.607 0.599
Sr4 0.359 0.607 0.901
Sr5 0.359 0.893 0.099
Sr6 0.359 0.893 0.401
Sr7 0.641 0.107 0.599
Sr8 0.641 0.107 0.901
Sr9 0.641 0.393 0.099
Sr10 0.641 0.393 0.401
Sr11 0.860 0.739 0.250
Sr12 0.860 0.761 0.750
Ga1 0.117 0.250 0.000
Ga2 0.117 0.250 0.500
Ga3 0.336 0.590 0.250
Ga4 0.336 0.910 0.750
Ga5 0.664 0.090 0.250
Ga6 0.664 0.410 0.750
Ga7 0.883 0.750 0.000
Ga8 0.883 0.750 0.500
Pd1 0.128 0.529 0.091
Pd2 0.128 0.529 0.409
Pd3 0.128 0.971 0.591
Pd4 0.128 0.971 0.909
Pd5 0.872 0.029 0.091
Pd6 0.872 0.029 0.409
Pd7 0.872 0.471 0.591
Pd8 0.872 0.471 0.909


[19]
Compound: Sr3Ga2Pd
Source: Alexandria
Functional: PBE
Structure: relaxed

Summary:
The formation energy is -46 kJ/mol of atoms. The value obtained for the density is 4.51 g/cm3. The crystal system is orthorhombic.

Cell lengths 12.707, 4.557, 12.944 Å; angles 90.00, 90.00, 90.00 degrees
Element x y z (fractional)
Sr1 0.061 0.250 0.121
Sr2 0.113 0.750 0.555
Sr3 0.207 0.250 0.800
Sr4 0.293 0.750 0.300
Sr5 0.387 0.250 0.055
Sr6 0.439 0.750 0.621
Sr7 0.561 0.250 0.379
Sr8 0.613 0.750 0.945
Sr9 0.707 0.250 0.700
Sr10 0.793 0.750 0.200
Sr11 0.887 0.250 0.445
Sr12 0.939 0.750 0.879
Ga1 0.038 0.750 0.310
Ga2 0.209 0.750 0.988
Ga3 0.291 0.250 0.488
Ga4 0.462 0.250 0.810
Ga5 0.538 0.750 0.190
Ga6 0.709 0.750 0.512
Ga7 0.791 0.250 0.012
Ga8 0.962 0.250 0.690
Pd1 0.123 0.250 0.366
Pd2 0.377 0.750 0.866
Pd3 0.623 0.250 0.134
Pd4 0.877 0.750 0.634


| no. | DOS at the Fermi energy (states/eV/atom) | electronic total energy (hartree per atom) |
| --- | --- | --- |
| 1 | 0.533 | -0.1577 |
| 2 | 0.581 | -0.1364 |
| 3 | 0.366 | -0.1383 |
| 4 | 0.397 | -0.1419 |
| 5 | 0.619 | -0.1280 |
| 6 | 0.467 | -0.1756 |
| 7 | 0.524 | -0.1289 |
| 8 | 0.407 | -0.1529 |
| 9 | 0.693 | -0.1202 |
| 10 | 0.450 | -0.1257 |
| 11 | 0.552 | -0.1341 |
| 12 | 0.838 | -0.1043 |
| 13 | 0.901 | -0.1083 |
| 14 | 0.227 | -0.1580 |
| 15 | 0.309 | -0.1682 |
| 16 | 0.882 | -0.1235 |
| 17 | 1.031 | -0.1221 |
| 18 | 0.649 | -0.1355 |
| 19 | 0.994 | -0.1173 |